Ba3ScNi at its PBEsol-relaxed geometry. Source: Alexandria via LeMat-Bulk, functional meta-GGA SCAN.

Unit cell a=5.895 b=5.895 c=5.895 alpha=90.00 beta=90.00 gamma=90.00
Last column: magnetic moment on the atom in μB.
Sites, in units of the cell vectors:
Ba 0.500 0.000 0.000  0.02
Ba 0.000 0.000 0.500  0.02
Ba 0.000 0.500 0.000  0.02
Sc 0.500 0.500 0.500  0.41
Ni 0.000 0.000 0.000  0.01

Results
As for the energy of formation from the pure elements: 404.1 meV per atom. The space group is Pm-3m, No. 221.